Computed, not measured: a relaxed structure of La12PmTm5 at the PBE level of DFT.

formation energy	0.020	eV per atom
Fermi-level density of states	1.427	states/eV/atom
M_tot	0.0	Bohr magnetons per cell
space-group type	No. 12

The structure in extended XYZ format:
```
18
Lattice="10.887 0.000 -0.004 5.443 9.542 0.638 0.002 1.748 6.119" Properties=species:S:1:pos:R:3 pbc="T T T"
La 9.018 0.875 3.057
La 7.314 10.415 3.696
La 7.276 0.001 -0.001
La 9.056 11.289 6.755
La 7.306 8.103 6.541
La 14.472 8.101 6.535
La 1.859 3.190 0.218
La 9.026 3.188 0.213
La 7.302 4.055 3.273
La 12.745 7.233 3.476
La 3.586 4.057 3.277
La 9.030 7.235 3.480
Pm 0.000 0.000 0.000
Tm 5.444 0.874 3.058
Tm 5.445 7.223 3.502
Tm 10.887 4.068 3.252
Tm 10.888 8.107 6.537
Tm 5.444 3.184 0.216
```

---

Computed, not measured: a relaxed structure of La5Pm4Tm at the PBE level of DFT.

formation energy	0.121	eV per atom
Fermi-level density of states	1.572	states/eV/atom
M_tot	0.0	Bohr magnetons per cell
space-group type	No. 2

The structure in extended XYZ format:
```
10
Lattice="6.838 0.593 -0.209 -0.981 6.057 -2.516 1.915 0.678 8.239" Properties=species:S:1:pos:R:3 pbc="T T T"
La 2.286 2.865 2.618
La 0.661 5.407 0.323
La 7.111 1.921 5.191
La 2.928 3.325 -1.362
La 5.486 4.462 2.896
Pm 4.218 6.479 0.083
Pm 6.609 2.383 -0.043
Pm 3.554 0.849 5.432
Pm 1.162 4.944 5.558
Tm 3.419 0.296 -0.104
```

---

Computed, not measured: a relaxed structure of La2Pm5Tm6 at the PBE level of DFT.

formation energy	0.097	eV per atom
Fermi-level density of states	1.417	states/eV/atom
M_tot	0.0	Bohr magnetons per cell
space-group type	No. 55

The structure in extended XYZ format:
```
26
Lattice="3.593 0.000 0.000 0.000 11.736 0.000 0.000 0.000 20.511" Properties=species:S:1:pos:R:3 pbc="T T T"
La 0.000 3.858 5.675
La 0.000 7.878 14.835
La 0.000 9.726 4.580
La 0.000 2.010 15.931
Pm 1.796 3.506 9.141
Pm 1.796 8.230 11.369
Pm 1.796 9.375 1.114
Pm 1.796 2.362 19.396
Pm 1.796 6.912 5.820
Pm 1.796 4.824 14.691
Pm 1.796 1.044 4.435
Pm 1.796 10.692 16.075
Pm 1.796 5.868 0.000
Pm 1.796 0.000 10.255
Tm 0.000 0.842 7.413
Tm 0.000 10.894 13.098
Tm 0.000 6.710 2.843
Tm 0.000 5.026 17.668
Tm 1.796 3.710 2.518
Tm 1.796 8.027 17.993
Tm 1.796 9.578 7.738
Tm 1.796 2.159 12.773
Tm 0.000 6.601 8.740
Tm 0.000 5.136 11.771
Tm 0.000 0.733 1.515
Tm 0.000 11.004 18.995
```

---

Computed, not measured: a relaxed structure of La3PmTm7 at the PBE level of DFT.

formation energy	0.164	eV per atom
Fermi-level density of states	1.485	states/eV/atom
M_tot	0.0	Bohr magnetons per cell
space-group type	No. 2

The structure in extended XYZ format:
```
11
Lattice="8.406 -0.803 -2.835 -2.278 9.825 -0.632 -1.868 -0.103 5.182" Properties=species:S:1:pos:R:3 pbc="T T T"
La -1.815 9.560 2.463
La -1.139 4.912 -0.316
La 6.075 -0.642 -0.748
Pm 2.130 4.459 0.858
Tm 4.056 7.329 1.610
Tm 4.809 5.572 -1.082
Tm 4.490 2.310 -1.264
Tm -0.230 6.608 2.979
Tm 3.269 -0.453 1.174
Tm -0.549 3.346 2.797
Tm 0.204 1.589 0.105
```

---

In order of appearance, raw total energy = -4.77; -4.69; -4.55; -4.46 eV/atom.